[1]
Entry from Alexandria via LeMat-Bulk: crystalline MnPAu2 at its relaxed geometry (PBE).

Cell lengths 4.0650, 4.0650, 6.0104 Å; angles 95.37, 95.37, 43.00 degrees
Element x y z (fractional)
Mn  0.0000  0.0000  0.0000
P  0.2851  0.2851  0.9165
Au  0.4718  0.4718  0.5946
Au  0.7235  0.7235  0.2940

**SG**: Cm, No. 8
**DFT formation energy**: 0.084 eV per atom
**Electronic total energy**: -5.199 eV/atom
**Crystal system**: monoclinic


[2]
Entry from Alexandria via LeMat-Bulk: crystalline MnP2Au at its relaxed geometry (PBE).

Cell lengths 4.4822, 4.4822, 4.4822 Å; angles 60.00, 60.00, 60.00 degrees
Element x y z (fractional)
Mn  0.0000  0.0000  0.0000
P  0.2500  0.2500  0.2500
P  0.5000  0.5000  0.5000
Au  0.7500  0.7500  0.7500

**SG**: F-43m, No. 216
**DFT formation energy**: 0.478 eV per atom
**Distance to the lowest polymorph of the same formula**: 688 meV per atom
**Electronic total energy**: -5.339 eV/atom
**Crystal system**: cubic


[3]
Entry from Alexandria via LeMat-Bulk: crystalline MnPAu3 at its relaxed geometry (PBE).

Cell lengths 4.7279, 4.7279, 4.7279 Å; angles 90.00, 90.00, 90.00 degrees
Element x y z (fractional)
Mn  0.0000  0.0000  0.0000
P  0.5000  0.5000  0.5000
Au  0.0000  0.5000  0.5000
Au  0.5000  0.0000  0.5000
Au  0.5000  0.5000  0.0000

**SG**: Pm-3m, No. 221
**DFT formation energy**: 0.464 eV per atom
**Distance to the lowest polymorph of the same formula**: 0 meV per atom
**Electronic total energy**: -4.419 eV/atom
**Crystal system**: cubic


[4]
Entry from Alexandria via LeMat-Bulk: crystalline Mn2PAu at its relaxed geometry (PBE).

Cell lengths 4.3008, 4.3008, 4.3008 Å; angles 60.00, 60.00, 60.00 degrees
Element x y z (fractional)
Mn  0.0000  0.0000  0.0000
Mn  0.2500  0.2500  0.2500
P  0.7500  0.7500  0.7500
Au  0.5000  0.5000  0.5000

**SG**: F-43m, No. 216
**DFT formation energy**: 0.369 eV per atom
**Electronic total energy**: -6.388 eV/atom
**Crystal system**: cubic


[5]
Entry from Alexandria via LeMat-Bulk: crystalline MnP2Au at its relaxed geometry (PBE).

Cell lengths 3.3617, 7.0154, 7.0154 Å; angles 22.52, 90.00, 90.00 degrees
Element x y z (fractional)
Mn  0.0000  0.0000  0.0000
P  0.0000  0.6308  0.6308
P  0.5000  0.4335  0.4335
Au  0.5000  0.2557  0.2557

**SG**: Amm2, No. 38
**DFT formation energy**: 0.044 eV per atom
**Distance to the lowest polymorph of the same formula**: 254 meV per atom
**Electronic total energy**: -5.772 eV/atom
**Crystal system**: orthorhombic


[6]
Entry from Alexandria via LeMat-Bulk: crystalline Mn2PAu at its relaxed geometry (PBE).

Cell lengths 8.6998, 8.6998, 8.6998 Å; angles 152.62, 152.62, 39.10 degrees
Element x y z (fractional)
Mn  0.0772  0.6250  0.9522
Mn  0.3750  0.3272  0.4522
Mn  0.6728  0.1250  0.0478
Mn  0.8750  0.9228  0.5478
P  0.0000  0.0000  0.0000
P  0.7500  0.2500  0.5000
Au  0.2500  0.7500  0.5000
Au  0.5000  0.5000  0.0000

**SG**: I-42d, No. 122
**DFT formation energy**: 0.393 eV per atom
**Electronic total energy**: -6.364 eV/atom
**Crystal system**: tetragonal


[7]
Entry from Alexandria via LeMat-Bulk: crystalline MnP2Au at its relaxed geometry (PBE).

Cell lengths 6.5729, 6.5729, 6.5729 Å; angles 131.58, 131.58, 70.90 degrees
Element x y z (fractional)
Mn  0.0000  0.0000  0.0000
Mn  0.7500  0.2500  0.5000
P  0.0862  0.6250  0.9612
P  0.3750  0.3362  0.4612
P  0.6638  0.1250  0.0388
P  0.8750  0.9138  0.5388
Au  0.2500  0.7500  0.5000
Au  0.5000  0.5000  0.0000

**SG**: I-42d, No. 122
**DFT formation energy**: 0.082 eV per atom
**Distance to the lowest polymorph of the same formula**: 292 meV per atom
**Electronic total energy**: -5.734 eV/atom
**Crystal system**: tetragonal


[8]
Entry from Alexandria via LeMat-Bulk: crystalline MnP3Au at its relaxed geometry (PBE).

Cell lengths 4.3994, 4.3994, 4.3994 Å; angles 90.00, 90.00, 90.00 degrees
Element x y z (fractional)
Mn  0.0000  0.0000  0.0000
P  0.0000  0.0000  0.5000
P  0.0000  0.5000  0.0000
P  0.5000  0.0000  0.0000
Au  0.5000  0.5000  0.5000

**SG**: Pm-3m, No. 221
**DFT formation energy**: 0.518 eV per atom
**Distance to the lowest polymorph of the same formula**: 0 meV per atom
**Electronic total energy**: -5.217 eV/atom
**Crystal system**: cubic